Density functional theory data (PBE-GGA) for a relaxed structure of Cd7Hg2Pb3.

Unit cell a=5.8338 b=3.2140 c=16.8003 alpha=90.00 beta=95.65 gamma=90.00
Sites, in units of the cell vectors:
Cd (0.0000, 0.0000, 0.0000)
Cd (0.0873, 0.5000, 0.1597)
Cd (0.2488, 0.5000, 0.5178)
Cd (0.4364, 0.0000, 0.8268)
Cd (0.5636, 0.0000, 0.1732)
Cd (0.7512, 0.5000, 0.4822)
Cd (0.9127, 0.5000, 0.8403)
Hg (0.1592, 0.5000, 0.6883)
Hg (0.8408, 0.5000, 0.3117)
Pb (0.3412, 0.0000, 0.3473)
Pb (0.5000, 0.5000, 0.0000)
Pb (0.6588, 0.0000, 0.6527)

Summary:
crystal system	monoclinic
calculated formation energy	0.552	eV/f.u.
E	-1.4652	eV/atom
energy above the lowest structure with this stoichiometry	0.00	eV/f.u.
DOS at the Fermi energy	0.2938	states/eV/atom

***

Density functional theory data (PBE-GGA) for a relaxed structure of BMoSe2N.

Unit cell a=5.3340 b=5.3340 c=2.6948 alpha=90.00 beta=90.00 gamma=90.00
Sites, in units of the cell vectors:
B (0.0000, 0.0000, 0.0000)
Mo (0.5000, 0.5000, 0.5000)
Se (0.0000, 0.5000, 0.0000)
Se (0.5000, 0.0000, 0.0000)
N (0.0000, 0.0000, 0.5000)

Summary:
crystal system	tetragonal
E	-6.0673	eV/atom
energy above the lowest structure with this stoichiometry	0.00	eV/f.u.
DOS at the Fermi energy	0.7183	states/eV/atom
energy relative to the elements, uncorrected	0.4933	eV per atom

***

Density functional theory data (PBE-GGA) for a relaxed structure of Sm2DyHoEr5.

Unit cell a=9.8208 b=9.8208 c=9.8208 alpha=128.14 beta=128.14 gamma=76.39
Sites, in units of the cell vectors:
Sm (0.1169, 0.6169, 0.7338)
Sm (0.3831, 0.1169, 0.5000)
Sm (0.6169, 0.8831, 0.5000)
Sm (0.8831, 0.3831, 0.2662)
Dy (0.2500, 0.2500, 0.0000)
Dy (0.7500, 0.7500, 0.0000)
Ho (0.2500, 0.7500, 0.5000)
Ho (0.7500, 0.2500, 0.5000)
Er (0.0000, 0.0000, 0.0000)
Er (0.0720, 0.1499, 0.5000)
Er (0.1499, 0.6499, 0.0779)
Er (0.3501, 0.4280, 0.5000)
Er (0.4280, 0.9280, 0.0779)
Er (0.5000, 0.5000, 0.0000)
Er (0.5720, 0.0720, 0.9221)
Er (0.6499, 0.5720, 0.5000)
Er (0.8501, 0.3501, 0.9221)
Er (0.9280, 0.8501, 0.5000)

Summary:
crystal system	tetragonal
calculated formation energy	2.545	eV/f.u.
E	-4.3209	eV/atom
DOS at the Fermi energy	1.2314	states/eV/atom

***

Density functional theory data (PBE-GGA) for a relaxed structure of PrY3Co.

Unit cell a=7.4840 b=7.4840 c=7.4840 alpha=115.75 beta=92.94 gamma=120.94
Sites, in units of the cell vectors:
Pr (0.2508, 0.0008, 0.2500)
Pr (0.7492, 0.9992, 0.7500)
Y (0.2400, 0.0000, 0.7400)
Y (0.2400, 0.5000, 0.2400)
Y (0.2593, 0.5093, 0.7500)
Y (0.7407, 0.4907, 0.2500)
Y (0.7600, 0.0000, 0.2600)
Y (0.7600, 0.5000, 0.7600)
Co (0.5000, 0.0000, 0.0000)
Co (0.5000, 0.5000, 0.5000)

Summary:
crystal system	orthorhombic
calculated formation energy	-0.076	eV/f.u.
E	-6.2708	eV/atom
energy above the lowest structure with this stoichiometry	0.31	eV/f.u.
DOS at the Fermi energy	1.4668	states/eV/atom

***

Density functional theory data (PBE-GGA) for a relaxed structure of Li2In4Pb5.

Unit cell a=8.9721 b=18.6398 c=3.5353 alpha=90.00 beta=90.00 gamma=90.00
Sites, in units of the cell vectors:
Li (0.0055, 0.1947, 0.0000)
Li (0.4945, 0.6947, 0.0000)
Li (0.5055, 0.3053, 0.0000)
Li (0.9945, 0.8053, 0.0000)
In (0.0718, 0.3500, 0.0000)
In (0.2148, 0.0746, 0.0000)
In (0.2852, 0.5746, 0.0000)
In (0.4282, 0.8500, 0.0000)
In (0.5718, 0.1500, 0.0000)
In (0.7148, 0.4254, 0.0000)
In (0.7852, 0.9254, 0.0000)
In (0.9282, 0.6500, 0.0000)
Pb (0.0000, 0.5000, 0.5000)
Pb (0.1314, 0.9257, 0.5000)
Pb (0.2194, 0.7289, 0.5000)
Pb (0.2806, 0.2289, 0.5000)
Pb (0.3686, 0.4257, 0.5000)
Pb (0.5000, 0.0000, 0.5000)
Pb (0.6314, 0.5743, 0.5000)
Pb (0.7194, 0.7711, 0.5000)
Pb (0.7806, 0.2711, 0.5000)
Pb (0.8686, 0.0743, 0.5000)

Summary:
crystal system	orthorhombic
calculated formation energy	-0.731	eV/f.u.
E	-3.0958	eV/atom
DOS at the Fermi energy	0.4307	states/eV/atom